The following is a PBE-GGA calculation of a relaxed ZnCr crystal, from Alexandria via LeMat-Bulk.

The structure belongs to space group R-3m (No. 166, hexagonal axes); the cell edges are 2.5937, 2.5937 and 13.2419 Å and the angles 90.00°, 90.00° and 120.00°. The inequivalent atoms are Zn at (0.0000, 0.0000, 0.0000) and Cr at (0.0000, 0.0000, 0.5000).

As for the density of states at the Fermi level: 1.611 states/eV/f.u. As for the calculated volume: 26 Å³/f.u. Its total energy is -30.747 eV/cell. As for the total magnetic moment: 0.00 μB/f.u.